[1]
DFT (PBE) results for crystalline Er4SnS2 at its relaxed geometry.

uncorrected energy = -5.72 eV/atom
N(E_F) = 5.3 states/eV/f.u.
symmetry = Cmcm, No. 63
total moment = 0.000 μB per atom

Cell: 6.7783 6.7783 13.2179 Å, 90.00 90.00 146.18°
Closest atoms and distances in Å follow each position.
Fractional positions:
Er (0.0000, 0.0000, 0.0000)  4 S 2.74
Er (0.0000, 0.0000, 0.5000)  4 S 2.74
Er (0.2646, 0.7354, 0.6173)  3 S 2.66-2.72
Er (0.2646, 0.7354, 0.8827)  3 S 2.66-2.72
Er (0.4277, 0.5723, 0.2500)  2 S 2.67
Er (0.5723, 0.4277, 0.7500)  2 S 2.67
Er (0.7354, 0.2646, 0.1173)  3 S 2.66-2.72
Er (0.7354, 0.2646, 0.3827)  3 S 2.66-2.72
Sn (0.1059, 0.8941, 0.2500)  6 Er 3.04-3.13
Sn (0.8941, 0.1059, 0.7500)  6 Er 3.04-3.13
S (0.3661, 0.6339, 0.0575)  6 Er 2.66-2.74
S (0.3661, 0.6339, 0.4425)  6 Er 2.66-2.74
S (0.6339, 0.3661, 0.5575)  6 Er 2.66-2.74
S (0.6339, 0.3661, 0.9425)  6 Er 2.66-2.74

[2]
DFT (PBE) results for crystalline MnCuPH at its relaxed geometry.

uncorrected energy = -5.51 eV/atom
N(E_F) = 1.0 states/eV/f.u.
symmetry = Cm, No. 8
total moment = 0.000 μB per atom

Cell: 9.8136 2.9970 2.7865 Å, 90.00 104.73 90.00°
Closest atoms and distances in Å follow each position.
Fractional positions:
Mn (0.0000, 0.0000, 0.0000)  2 H 1.75-1.76
Mn (0.5000, 0.5000, 0.0000)  2 H 1.75-1.76
Cu (0.2168, 0.5000, 0.5342)  2 H 1.85
Cu (0.7168, 0.0000, 0.5342)  2 H 1.85
P (0.3948, 0.0000, 0.4088)  4 Mn 2.27-2.28, 2 Cu 2.39
P (0.8948, 0.5000, 0.4088)  4 Mn 2.27-2.28, 2 Cu 2.39
H (0.1123, 0.0000, 0.6024)  2 Mn 1.75-1.76, 2 Cu 1.85
H (0.6123, 0.5000, 0.6024)  2 Mn 1.75-1.76, 2 Cu 1.85

[3]
DFT (PBE) results for crystalline Pu8P5H at its relaxed geometry.

uncorrected energy = -11.19 eV/atom
N(E_F) = 45.2 states/eV/f.u.
symmetry = I-4, No. 82
total moment = 3.425 μB per atom

Cell: 7.3205 7.3205 7.3205 Å, 109.96 109.96 108.50°
Closest atoms and distances in Å follow each position.
Fractional positions:
Pu (0.0065, 0.1296, 0.7339)  1 H 2.67, 2 P 2.82-2.84
Pu (0.2394, 0.4865, 0.6060)  5 P 2.81-3.07, 1 H 3.11
Pu (0.3666, 0.7606, 0.2471)  5 P 2.81-3.07, 1 H 3.11
Pu (0.3957, 0.2726, 0.2661)  1 H 2.67, 2 P 2.82-2.84
Pu (0.5135, 0.1195, 0.7529)  5 P 2.81-3.07, 1 H 3.11
Pu (0.7274, 0.9935, 0.1231)  1 H 2.67, 2 P 2.82-2.84
Pu (0.8704, 0.6043, 0.8769)  1 H 2.67, 2 P 2.82-2.84
Pu (0.8805, 0.6334, 0.3940)  5 P 2.81-3.07, 1 H 3.11
P (0.0041, 0.3694, 0.1269)  8 Pu 2.81-3.09
P (0.1229, 0.9959, 0.3653)  8 Pu 2.81-3.09
P (0.2425, 0.8771, 0.8731)  8 Pu 2.81-3.09
P (0.5000, 0.5000, 0.0000)  8 Pu 2.81-3.09
P (0.6306, 0.7575, 0.6347)  8 Pu 2.81-3.09
H (0.7500, 0.2500, 0.5000)  4 Pu 2.67

[4]
DFT (PBE) results for crystalline AcLa8Ir6 at its relaxed geometry.

uncorrected energy = -7.08 eV/atom
N(E_F) = 9.4 states/eV/f.u.
symmetry = R-3, No. 148
total moment = 0.000 μB per atom

Cell: 8.8871 8.8871 8.8871 Å, 54.13 54.13 54.13°
Closest atoms and distances in Å follow each position.
Fractional positions:
Ac (0.0000, 0.0000, 0.0000)  6 Ir 3.19
La (0.1153, 0.7818, 0.4493)  3 Ir 2.83-2.88
La (0.2182, 0.5507, 0.8847)  3 Ir 2.83-2.88
La (0.3334, 0.3334, 0.3334)  6 Ir 3.15-3.16
La (0.4493, 0.1153, 0.7818)  3 Ir 2.83-2.88
La (0.5507, 0.8847, 0.2182)  3 Ir 2.83-2.88
La (0.6666, 0.6666, 0.6666)  6 Ir 3.15-3.16
La (0.7818, 0.4493, 0.1153)  3 Ir 2.83-2.88
La (0.8847, 0.2182, 0.5507)  3 Ir 2.83-2.88
Ir (0.0735, 0.4097, 0.7361)  5 La 2.83-3.16
Ir (0.2639, 0.9265, 0.5903)  5 La 2.83-3.16
Ir (0.4097, 0.7361, 0.0735)  5 La 2.83-3.16
Ir (0.5903, 0.2639, 0.9265)  5 La 2.83-3.16
Ir (0.7361, 0.0735, 0.4097)  5 La 2.83-3.16
Ir (0.9265, 0.5903, 0.2639)  5 La 2.83-3.16

[5]
DFT (PBE) results for crystalline LiPrGa2 at its relaxed geometry.

uncorrected energy = -3.55 eV/atom
N(E_F) = 1.7 states/eV/f.u.
symmetry = P4/mmm, No. 123
total moment = 0.000 μB per atom

Cell: 4.8113 4.8113 3.9190 Å, 90.00 90.00 90.00°
Closest atoms and distances in Å follow each position.
Fractional positions:
Li (0.0000, 0.0000, 0.0000)  8 Ga 3.10, 4 Pr 3.40
Pr (0.5000, 0.5000, 0.0000)  8 Ga 3.10, 4 Li 3.40
Ga (0.0000, 0.5000, 0.5000)  4 Pr 3.10, 4 Li 3.10, 4 Ga 3.40
Ga (0.5000, 0.0000, 0.5000)  4 Pr 3.10, 4 Li 3.10, 4 Ga 3.40

[6]
DFT (PBE) results for crystalline KZr2Sc at its relaxed geometry.

uncorrected energy = -5.61 eV/atom
N(E_F) = 5.2 states/eV/f.u.
symmetry = Cm, No. 8
total moment = 0.000 μB per atom

Cell: 10.2519 3.1152 7.8444 Å, 90.00 93.18 90.00°
Closest atoms and distances in Å follow each position.
Fractional positions:
K (0.0000, 0.0000, 0.0000)  2 K 3.12
K (0.5000, 0.5000, 0.0000)  2 K 3.12
Zr (0.2620, 0.5000, 0.3379)  5 Zr 2.97-3.12, 2 Sc 3.02
Zr (0.4969, 0.0000, 0.4713)  5 Zr 2.97-3.12, 3 Sc 3.14-3.22
Zr (0.7620, 0.0000, 0.3379)  5 Zr 2.97-3.12, 2 Sc 3.02
Zr (0.9969, 0.5000, 0.4713)  5 Zr 2.97-3.12, 3 Sc 3.14-3.22
Sc (0.2372, 0.0000, 0.6649)  5 Zr 3.02-3.22, 2 Sc 3.12
Sc (0.7372, 0.5000, 0.6649)  5 Zr 3.02-3.22, 2 Sc 3.12

[7]
DFT (PBE) results for crystalline UAlPdO6 at its relaxed geometry.

uncorrected energy = -7.77 eV/atom
N(E_F) = 1.8 states/eV/f.u.
symmetry = P4_2nm, No. 102
total moment = 0.000 μB per atom

Cell: 4.8362 4.8362 9.2234 Å, 90.00 90.00 90.00°
Closest atoms and distances in Å follow each position.
Fractional positions:
U (0.0000, 0.0000, 0.0000)  6 O 2.06-2.17
U (0.5000, 0.5000, 0.5000)  6 O 2.06-2.17
Al (0.0000, 0.0000, 0.6635)  6 O 1.89-2.01
Al (0.5000, 0.5000, 0.1635)  6 O 1.89-2.01
Pd (0.0000, 0.0000, 0.3345)  6 O 2.05-2.19
Pd (0.5000, 0.5000, 0.8345)  6 O 2.05-2.19
O (0.1810, 0.1810, 0.8218)  1 Al 1.91, 1 U 2.06
O (0.1831, 0.1831, 0.5103)  1 Al 1.89, 1 Pd 2.05
O (0.2056, 0.2056, 0.1655)  1 Al 2.01, 1 U 2.08, 1 Pd 2.10
O (0.2944, 0.7056, 0.6655)  1 Al 2.01, 1 U 2.08, 1 Pd 2.10
O (0.3169, 0.6831, 0.0103)  1 Al 1.89, 1 Pd 2.05
O (0.3190, 0.6810, 0.3218)  1 Al 1.91, 1 U 2.06
O (0.6810, 0.3190, 0.3218)  1 Al 1.91, 1 U 2.06
O (0.6831, 0.3169, 0.0103)  1 Al 1.89, 1 Pd 2.05
O (0.7056, 0.2944, 0.6655)  1 Al 2.01, 1 U 2.08, 1 Pd 2.10
O (0.7944, 0.7944, 0.1655)  1 Al 2.01, 1 U 2.08, 1 Pd 2.10
O (0.8169, 0.8169, 0.5103)  1 Al 1.89, 1 Pd 2.05
O (0.8190, 0.8190, 0.8218)  1 Al 1.91, 1 U 2.06

[8]
DFT (PBE) results for crystalline LaYHo3 at its relaxed geometry.

uncorrected energy = -5.01 eV/atom
N(E_F) = 8.8 states/eV/f.u.
symmetry = P-1, No. 2
total moment = 0.000 μB per atom

Cell: 6.3190 6.7678 8.5092 Å, 102.67 111.70 90.05°
Closest atoms and distances in Å follow each position.
Fractional positions:
La (0.1815, 0.4472, 0.1994)  8 Ho 3.52-3.67, 1 La 3.55, 3 Y 3.56-3.68
La (0.8185, 0.5528, 0.8006)  8 Ho 3.52-3.67, 1 La 3.55, 3 Y 3.56-3.68
Y (0.2161, 0.3436, 0.6000)  8 Ho 3.49-3.69, 3 La 3.56-3.68, 1 Y 3.60
Y (0.7839, 0.6564, 0.4000)  8 Ho 3.49-3.69, 3 La 3.56-3.68, 1 Y 3.60
Ho (0.0170, 0.9510, 0.2008)  2 Y 3.51-3.61, 3 La 3.52-3.64, 7 Ho 3.53-3.65
Ho (0.3834, 0.8527, 0.6006)  4 Y 3.49-3.65, 6 Ho 3.53-3.64, 2 La 3.56-3.67
Ho (0.4162, 0.7543, 0.0013)  7 Ho 3.50-3.65, 2 Y 3.54-3.69, 3 La 3.57-3.67
Ho (0.5838, 0.2457, 0.9987)  7 Ho 3.50-3.65, 2 Y 3.54-3.69, 3 La 3.57-3.67
Ho (0.6166, 0.1473, 0.3994)  4 Y 3.49-3.65, 6 Ho 3.53-3.64, 2 La 3.56-3.67
Ho (0.9830, 0.0490, 0.7992)  2 Y 3.51-3.61, 3 La 3.52-3.64, 7 Ho 3.53-3.65

[9]
DFT (PBE) results for crystalline Ac2Pr5Nd6 at its relaxed geometry.

uncorrected energy = -4.58 eV/atom
N(E_F) = 17.6 states/eV/f.u.
symmetry = Pbam, No. 55
total moment = 0.000 μB per atom

Cell: 12.2628 21.2289 3.7435 Å, 90.00 90.00 90.00°
Closest atoms and distances in Å follow each position.
Fractional positions:
Ac (0.1703, 0.2211, 0.0000)  3 Nd 3.63-3.82, 6 Pr 3.69-4.01, 2 Ac 3.74
Ac (0.3297, 0.7211, 0.0000)  3 Nd 3.63-3.82, 6 Pr 3.69-4.01, 2 Ac 3.74
Ac (0.6703, 0.2789, 0.0000)  3 Nd 3.63-3.82, 6 Pr 3.69-4.01, 2 Ac 3.74
Ac (0.8297, 0.7789, 0.0000)  3 Nd 3.63-3.82, 6 Pr 3.69-4.01, 2 Ac 3.74
Pr (0.0000, 0.5000, 0.5000)  6 Nd 3.44-3.58, 4 Pr 3.74-3.83
Pr (0.0884, 0.7831, 0.5000)  5 Nd 3.43-3.62, 4 Ac 3.69-3.74, 2 Pr 3.74
Pr (0.2026, 0.0552, 0.5000)  3 Pr 3.74-3.83, 7 Nd 3.75-4.02, 2 Ac 4.01
Pr (0.2974, 0.5552, 0.5000)  3 Pr 3.74-3.83, 7 Nd 3.75-4.02, 2 Ac 4.01
Pr (0.4116, 0.2831, 0.5000)  5 Nd 3.43-3.62, 4 Ac 3.69-3.74, 2 Pr 3.74
Pr (0.5000, 0.0000, 0.5000)  6 Nd 3.44-3.58, 4 Pr 3.74-3.83
Pr (0.5884, 0.7169, 0.5000)  5 Nd 3.43-3.62, 4 Ac 3.69-3.74, 2 Pr 3.74
Pr (0.7026, 0.4448, 0.5000)  3 Pr 3.74-3.83, 7 Nd 3.75-4.02, 2 Ac 4.01
Pr (0.7974, 0.9448, 0.5000)  3 Pr 3.74-3.83, 7 Nd 3.75-4.02, 2 Ac 4.01
Pr (0.9116, 0.2169, 0.5000)  5 Nd 3.43-3.62, 4 Ac 3.69-3.74, 2 Pr 3.74
Nd (0.0601, 0.9256, 0.0000)  5 Nd 3.48-3.79, 6 Pr 3.57-3.76
Nd (0.0711, 0.6377, 0.0000)  6 Pr 3.58-3.78, 1 Ac 3.63, 4 Nd 3.66-3.74
Nd (0.1845, 0.3777, 0.5000)  2 Pr 3.43-3.44, 6 Nd 3.66-3.79, 2 Ac 3.82
Nd (0.3155, 0.8777, 0.5000)  2 Pr 3.43-3.44, 6 Nd 3.66-3.79, 2 Ac 3.82
Nd (0.4289, 0.1377, 0.0000)  6 Pr 3.58-3.78, 1 Ac 3.63, 4 Nd 3.66-3.74
Nd (0.4399, 0.4256, 0.0000)  5 Nd 3.48-3.79, 6 Pr 3.57-3.76
Nd (0.5601, 0.5744, 0.0000)  5 Nd 3.48-3.79, 6 Pr 3.57-3.76
Nd (0.5711, 0.8623, 0.0000)  6 Pr 3.58-3.78, 1 Ac 3.63, 4 Nd 3.66-3.74
Nd (0.6845, 0.1223, 0.5000)  2 Pr 3.43-3.44, 6 Nd 3.66-3.79, 2 Ac 3.82
Nd (0.8155, 0.6223, 0.5000)  2 Pr 3.43-3.44, 6 Nd 3.66-3.79, 2 Ac 3.82
Nd (0.9289, 0.3623, 0.0000)  6 Pr 3.58-3.78, 1 Ac 3.63, 4 Nd 3.66-3.74
Nd (0.9399, 0.0744, 0.0000)  5 Nd 3.48-3.79, 6 Pr 3.57-3.76

Question: Which formula does entry 6 have?
Answer: KZr2Sc